# 1
MnCrOs | GGA-PBEsol | optimized geometry

abc: 3.9951 3.9951 2.5856
angles: 90.00 90.00 120.00
Closest atoms and distances in Å follow each position.
Space group P-6m2 (No. 187)
One atom of each set of equivalent atoms:
Mn1 0.0000 0.0000 0.0000 (multiplicity 1)  3 Cr 2.31
Cr1 0.3333 0.6667 0.0000 (multiplicity 1)  3 Mn 2.31
Os1 0.6667 0.3333 0.5000 (multiplicity 1)  2 Os 2.59, 6 Mn 2.64, 6 Cr 2.64

E: -10.68 eV/atom
DOS(E_F): 0.9155 states/eV per atom
Mass density: 13.8 g cm⁻³
Energy of formation from the pure elements: 63 meV/atom

=====

# 2
MnCr2Os | GGA-PBEsol | optimized geometry

abc: 3.6175 3.6175 7.2611
angles: 90.00 90.00 90.00
Closest atoms and distances in Å follow each position.
Space group I-4m2 (No. 119)
One atom of each set of equivalent atoms:
Mn1 0.0000 0.0000 0.0000 (multiplicity 2)  8 Cr 2.56, 4 Os 2.56
Cr1 0.0000 0.0000 0.5000 (multiplicity 2)  4 Mn 2.56, 4 Cr 2.56, 4 Os 2.56
Cr2 0.0000 0.5000 0.7500 (multiplicity 2)  4 Os 2.56, 4 Cr 2.56, 4 Mn 2.56
Os1 0.0000 0.5000 0.2500 (multiplicity 2)  8 Cr 2.56, 4 Mn 2.56

E: -10.45 eV/atom
DOS(E_F): 1.3175 states/eV per atom
Mass density: 12.2 g cm⁻³
Energy of formation from the pure elements: 162 meV/atom

=====

# 3
MnCr2Os | GGA-PBEsol | optimized geometry

abc: 5.7882 5.7882 5.7882
angles: 90.00 90.00 90.00
Closest atoms and distances in Å follow each position.
Space group F-43m (No. 216)
One atom of each set of equivalent atoms:
Mn1 0.0000 0.0000 0.0000 (multiplicity 4)  4 Cr 2.51, 4 Os 2.51
Cr1 0.0000 0.0000 0.5000 (multiplicity 4)  4 Cr 2.51, 4 Os 2.51
Cr2 0.2500 0.2500 0.7500 (multiplicity 4)  4 Cr 2.51, 4 Mn 2.51
Os1 0.2500 0.2500 0.2500 (multiplicity 4)  4 Cr 2.51, 4 Mn 2.51

E: -10.47 eV/atom
DOS(E_F): 1.2624 states/eV per atom
Mass density: 12.0 g cm⁻³
Energy of formation from the pure elements: 148 meV/atom

=====

# 4
Mn2CrOs | GGA-PBEsol | optimized geometry

abc: 3.6106 3.6106 7.1651
angles: 90.00 90.00 90.00
Closest atoms and distances in Å follow each position.
Space group I4/mmm (No. 139)
One atom of each set of equivalent atoms:
Mn1 0.0000 0.5000 0.2500 (multiplicity 4)  4 Cr 2.54, 4 Os 2.54, 4 Mn 2.55
Cr1 0.0000 0.0000 0.0000 (multiplicity 2)  8 Mn 2.54, 4 Os 2.55
Os1 0.0000 0.0000 0.5000 (multiplicity 2)  8 Mn 2.54, 4 Cr 2.55

E: -10.39 eV/atom
DOS(E_F): 1.2128 states/eV per atom
Mass density: 12.5 g cm⁻³
Energy of formation from the pure elements: 104 meV/atom

=====

# 5
Mn2CrOs | GGA-PBEsol | optimized geometry

abc: 2.8325 2.8325 5.7625
angles: 90.00 90.00 90.00
Closest atoms and distances in Å follow each position.
Space group P4mm (No. 99)
One atom of each set of equivalent atoms:
Mn1 0.0000 0.0000 0.0000 (multiplicity 1)  4 Cr 2.26, 4 Mn 2.51
Mn2 0.5000 0.5000 0.2624 (multiplicity 1)  4 Os 2.50, 4 Mn 2.51, 1 Cr 2.56
Cr1 0.5000 0.5000 0.8185 (multiplicity 1)  4 Mn 2.26
Os1 0.0000 0.0000 0.5209 (multiplicity 1)  5 Mn 2.50-2.76, 4 Cr 2.64

E: -10.34 eV/atom
DOS(E_F): 1.1501 states/eV per atom
Mass density: 12.6 g cm⁻³
Energy of formation from the pure elements: 155 meV/atom

=====

# 6
MnCr2Os | GGA-PBEsol | optimized geometry

abc: 2.8118 2.8118 5.9304
angles: 90.00 90.00 90.00
Closest atoms and distances in Å follow each position.
Space group P4mm (No. 99)
One atom of each set of equivalent atoms:
Mn1 0.0000 0.0000 0.0000 (multiplicity 1)  4 Cr 2.32
Cr1 0.0000 0.0000 0.5529 (multiplicity 1)  4 Cr 2.46, 4 Os 2.51, 1 Mn 2.65
Cr2 0.5000 0.5000 0.7984 (multiplicity 1)  4 Mn 2.32, 4 Cr 2.46
Os1 0.5000 0.5000 0.2945 (multiplicity 1)  4 Cr 2.51, 4 Mn 2.65

E: -10.51 eV/atom
DOS(E_F): 1.0586 states/eV per atom
Mass density: 12.4 g cm⁻³
Energy of formation from the pure elements: 103 meV/atom

=====

# 7
MnCrOs | GGA-PBEsol | optimized geometry

abc: 2.6112 2.6112 6.1795
angles: 90.00 90.00 120.00
Closest atoms and distances in Å follow each position.
Space group P3m1 (No. 156)
One atom of each set of equivalent atoms:
Mn1 0.0000 0.0000 0.0000 (multiplicity 1)  3 Cr 2.45, 3 Os 2.60, 6 Mn 2.61
Cr1 0.6667 0.3333 0.3128 (multiplicity 1)  3 Mn 2.45, 3 Os 2.61, 6 Cr 2.61
Os1 0.3333 0.6667 0.6575 (multiplicity 1)  3 Mn 2.60, 3 Cr 2.61, 6 Os 2.61

E: -10.52 eV/atom
DOS(E_F): 1.2029 states/eV per atom
Mass density: 13.5 g cm⁻³
Energy of formation from the pure elements: 218 meV/atom

=====

# 8
Mn2CrOs | GGA-PBEsol | optimized geometry

abc: 3.6091 3.6091 3.5919
angles: 90.00 90.00 90.00
Closest atoms and distances in Å follow each position.
Space group P4/mmm (No. 123)
One atom of each set of equivalent atoms:
Mn1 0.0000 0.5000 0.0000 (multiplicity 2)  4 Cr 2.55, 4 Os 2.55, 4 Mn 2.55
Cr1 0.0000 0.0000 0.5000 (multiplicity 1)  8 Mn 2.55, 4 Os 2.55
Os1 0.5000 0.5000 0.5000 (multiplicity 1)  8 Mn 2.55, 4 Cr 2.55

E: -10.39 eV/atom
DOS(E_F): 1.2379 states/eV per atom
Mass density: 12.5 g cm⁻³
Energy of formation from the pure elements: 104 meV/atom

=====

# 9
MnCrP2 | GGA-PBEsol | optimized geometry

abc: 2.9588 5.8842 5.2577
angles: 90.00 90.00 90.00
Closest atoms and distances in Å follow each position.
Space group Pmc2_1 (No. 26)
One atom of each set of equivalent atoms:
Mn1 0.0000 0.0587 0.0000 (multiplicity 2)  6 P 2.24-2.34
Cr1 0.5000 0.4480 0.0126 (multiplicity 2)  6 P 2.29-2.37
P1 0.0000 0.3064 0.3229 (multiplicity 2)  2 Mn 2.24-2.34, 4 Cr 2.30-2.35
P2 0.5000 0.1826 0.6935 (multiplicity 2)  4 Mn 2.29-2.31, 2 Cr 2.29-2.37, 2 P 2.55

E: -8.54 eV/atom
DOS(E_F): 0.8042 states/eV per atom
Mass density: 6.1 g cm⁻³
Energy of formation from the pure elements: -648 meV/atom

=====

# 10
MnCrP2 | GGA-PBEsol | optimized geometry

abc: 2.6946 2.6946 21.1580
angles: 90.00 90.00 120.00
Closest atoms and distances in Å follow each position.
Space group R-3m (No. 166, hexagonal axes)
One atom of each set of equivalent atoms:
Mn1 0.0000 0.0000 0.0000 (multiplicity 3)  6 P 2.32
Cr1 0.0000 0.0000 0.5000 (multiplicity 3)  6 P 2.39
P1 0.0000 0.0000 0.2522 (multiplicity 6)  3 Mn 2.32, 3 Cr 2.39

E: -8.13 eV/atom
DOS(E_F): 1.1362 states/eV per atom
Mass density: 6.3 g cm⁻³
Energy of formation from the pure elements: -238 meV/atom

=====

# 11
Mn3CrP4 | GGA-PBEsol | optimized geometry

abc: 5.2344 2.9626 5.8656
angles: 90.00 90.06 90.00
Closest atoms and distances in Å follow each position.
Space group Pm (No. 6)
One atom of each set of equivalent atoms:
Mn1 0.0000 0.0000 0.0000 (multiplicity 1)  6 P 2.27-2.35
Mn2 0.0129 0.5000 0.6047 (multiplicity 1)  6 P 2.24-2.32
Mn3 0.5118 0.5000 0.4918 (multiplicity 1)  6 P 2.24-2.34
Cr1 0.4985 0.0000 0.1022 (multiplicity 1)  6 P 2.28-2.36
P1 0.1888 0.5000 0.2410 (multiplicity 1)  4 Mn 2.24-2.32, 2 Cr 2.34
P2 0.3176 0.0000 0.7342 (multiplicity 1)  5 Mn 2.28-2.30, 1 Cr 2.36
P3 0.6929 0.5000 0.8576 (multiplicity 1)  4 Mn 2.24-2.34, 2 Cr 2.30
P4 0.8178 0.0000 0.3666 (multiplicity 1)  5 Mn 2.28-2.35, 1 Cr 2.28

E: -8.50 eV/atom
DOS(E_F): 0.7715 states/eV per atom
Mass density: 6.2 g cm⁻³
Energy of formation from the pure elements: -665 meV/atom

=====

# 12
Mn4CrP | GGA-PBEsol | optimized geometry

abc: 6.3872 6.3872 6.3872
angles: 90.00 90.00 90.00
Closest atoms and distances in Å follow each position.
Space group F-43m (No. 216)
One atom of each set of equivalent atoms:
Mn1 0.1238 0.1238 0.3762 (multiplicity 16)  6 Mn 2.24-2.28
Cr1 0.0000 0.0000 0.0000 (multiplicity 4)  12 Mn 2.65, 4 P 2.77
P1 0.2500 0.2500 0.7500 (multiplicity 4)  12 Mn 2.65, 4 Cr 2.77

E: -8.92 eV/atom
DOS(E_F): 1.0259 states/eV per atom
Mass density: 7.7 g cm⁻³
Energy of formation from the pure elements: 256 meV/atom

=====

Please write out number 8 again, unchanged.
Mn2CrOs | GGA-PBEsol | optimized geometry

abc: 3.6091 3.6091 3.5919
angles: 90.00 90.00 90.00
Closest atoms and distances in Å follow each position.
Space group P4/mmm (No. 123)
One atom of each set of equivalent atoms:
Mn1 0.0000 0.5000 0.0000 (multiplicity 2)  4 Cr 2.55, 4 Os 2.55, 4 Mn 2.55
Cr1 0.0000 0.0000 0.5000 (multiplicity 1)  8 Mn 2.55, 4 Os 2.55
Os1 0.5000 0.5000 0.5000 (multiplicity 1)  8 Mn 2.55, 4 Cr 2.55

E: -10.39 eV/atom
DOS(E_F): 1.2379 states/eV per atom
Mass density: 12.5 g cm⁻³
Energy of formation from the pure elements: 104 meV/atom

=====

Look up the DOS(E_F) of the ninth one.
0.8042 states/eV per atom